Entry 1:
The following is a GGA-PBE calculation of a relaxed structure of Ba4Hg2Au, from Alexandria.

Cell: 6.3642 6.3642 16.7291 Å, 90.00 90.00 90.00°
Closest atoms and distances in Å follow each position.
Space group I4/mmm (No. 139)
Inequivalent atoms, fractional coordinates:
Ba  0.0000  0.0000  0.1990 (multiplicity 4)  1 Au 3.33, 1 Hg 3.42
Ba  0.0000  0.5000  0.0000 (multiplicity 4)  2 Au 3.18
Hg  0.0000  0.0000  0.4032 (multiplicity 4)  1 Hg 3.24, 5 Ba 3.42-3.57
Au  0.0000  0.0000  0.0000 (multiplicity 2)  6 Ba 3.18-3.33

## Properties
For the density of states at the Fermi level, the calculation gives 18.70 states/eV per cell. As for the density: 5.62 g/cm3. The formation energy is -0.377 eV/atom. The total energy comes out at -2.031 eV per atom. The magnetic moment is 0.01 μB/f.u. The energy above the most stable polymorph in this dataset comes out at 81 meV/atom.

---

Entry 2:
The following is a GGA-PBE calculation of a relaxed structure of Ba8HgAu5, from Alexandria.

Cell: 10.3013 10.3013 10.2530 Å, 90.00 90.00 90.00°
Closest atoms and distances in Å follow each position.
Space group I-4 (No. 82)
Inequivalent atoms, fractional coordinates:
Ba  0.0625  0.3102  0.0641 (multiplicity 8)  3 Au 3.32-3.35
Ba  0.0647  0.1810  0.6852 (multiplicity 8)  2 Au 3.32-3.34, 1 Hg 3.42
Hg  0.0000  0.5000  0.7500 (multiplicity 2)  8 Ba 3.42-3.82
Au  0.0000  0.0000  0.0000 (multiplicity 2)  4 Ba 3.33
Au  0.1276  0.2492  0.3752 (multiplicity 8)  4 Ba 3.32-3.35

## Properties
For the density of states at the Fermi level, the calculation gives 20.48 states/eV per cell. As for the density: 6.97 g/cm3. The formation energy is -0.590 eV/atom. The total energy comes out at -2.880 eV per atom. The magnetic moment is 0.00 μB/f.u.

---

Entry 3:
The following is a GGA-PBE calculation of a relaxed structure of BaHgAu, from Alexandria.

Cell: 7.4748 7.4748 7.4748 Å, 90.00 90.00 90.00°
Closest atoms and distances in Å follow each position.
Space group F-43m (No. 216)
Inequivalent atoms, fractional coordinates:
Ba  0.0000  0.0000  0.0000 (multiplicity 4)  4 Au 3.24
Hg  0.0000  0.0000  0.5000 (multiplicity 4)  4 Au 3.24
Au  0.2500  0.2500  0.2500 (multiplicity 4)  4 Hg 3.24, 4 Ba 3.24

## Properties
For the density of states at the Fermi level, the calculation gives 8.65 states/eV per cell. As for the density: 8.51 g/cm3. The formation energy is -0.529 eV/atom. The total energy comes out at -2.363 eV per atom. The magnetic moment is 0.00 μB/f.u.

---

Entry 4:
The following is a GGA-PBE calculation of a relaxed structure of Ba3HgAu2, from Alexandria.

Cell: 5.8099 17.4013 4.0625 Å, 90.00 90.00 90.00°
Closest atoms and distances in Å follow each position.
Space group Cmmm (No. 65)
Inequivalent atoms, fractional coordinates:
Ba  0.0000  0.0000  0.0000 (multiplicity 2)  4 Au 3.48, 4 Hg 3.54
Ba  0.0000  0.3275  0.0000 (multiplicity 4)  6 Au 3.51-3.55, 2 Hg 3.62
Hg  0.0000  0.5000  0.5000 (multiplicity 2)  8 Ba 3.54-3.62
Au  0.0000  0.1627  0.5000 (multiplicity 4)  8 Ba 3.48-3.55

## Properties
For the density of states at the Fermi level, the calculation gives 10.61 states/eV per cell. As for the density: 8.14 g/cm3. The formation energy is -0.619 eV/atom. The total energy comes out at -2.723 eV per atom. The magnetic moment is 0.00 μB/f.u. The energy above the most stable polymorph in this dataset comes out at 7 meV/atom.

---

Entry 5:
The following is a GGA-PBE calculation of a relaxed structure of BaHg2Au9, from Alexandria.

Cell: 5.7955 5.7955 27.0798 Å, 90.00 90.00 120.00°
Closest atoms and distances in Å follow each position.
Space group R-3m (No. 166, hexagonal axes)
Inequivalent atoms, fractional coordinates:
Ba  0.0000  0.0000  0.0000 (multiplicity 3)  18 Au 3.35-3.71
Hg  0.0000  0.0000  0.1428 (multiplicity 6)  12 Au 3.28-3.41, 3 Hg 3.59
Au  0.0000  0.0000  0.3337 (multiplicity 6)  6 Au 2.85-2.87
Au  0.0000  0.0000  0.5000 (multiplicity 3)  6 Au 2.78
Au  0.0060  0.5030  0.9145 (multiplicity 18)  7 Au 2.78-2.95

## Properties
For the density of states at the Fermi level, the calculation gives 14.15 states/eV per cell. As for the density: 14.62 g/cm3. The formation energy is -0.201 eV/atom. The total energy comes out at -2.869 eV per atom. The magnetic moment is 0.00 μB/f.u.

---

Entry 6:
The following is a GGA-PBE calculation of a relaxed structure of Ba6HgAu, from Alexandria.

Cell: 8.1396 8.1396 15.5257 Å, 90.00 90.00 120.00°
Closest atoms and distances in Å follow each position.
Space group P-31c (No. 163)
Inequivalent atoms, fractional coordinates:
Ba  0.0108  0.3331  0.1234 (multiplicity 12)  1 Au 3.28, 1 Hg 3.42
Hg  0.3333  0.6667  0.7500 (multiplicity 2)  6 Ba 3.42
Au  0.0000  0.0000  0.0000 (multiplicity 2)  6 Ba 3.28

## Properties
For the density of states at the Fermi level, the calculation gives 17.90 states/eV per cell. As for the density: 4.55 g/cm3. The formation energy is -0.299 eV/atom. The total energy comes out at -2.189 eV per atom. The magnetic moment is 0.03 μB/f.u. The energy above the most stable polymorph in this dataset comes out at 4 meV/atom.

---

Entry 7:
The following is a GGA-PBE calculation of a relaxed structure of BaHgAu3, from Alexandria.

Cell: 5.9299 6.7236 7.9247 Å, 90.00 123.78 90.00°
Closest atoms and distances in Å follow each position.
Space group P2/c (No. 13)
Inequivalent atoms, fractional coordinates:
Ba  0.0000  0.2346  0.2500 (multiplicity 2)  12 Au 3.47-3.74, 4 Hg 3.59-3.71
Hg  0.5000  0.4635  0.7500 (multiplicity 2)  5 Au 2.87-2.94
Au  0.2524  0.2476  0.9298 (multiplicity 4)  3 Au 2.76-2.93, 2 Hg 2.87-2.94
Au  0.5000  0.0323  0.7500 (multiplicity 2)  4 Au 2.83-2.93, 1 Hg 2.90

## Properties
For the density of states at the Fermi level, the calculation gives 3.04 states/eV per cell. As for the density: 11.75 g/cm3. The formation energy is -0.450 eV/atom. The total energy comes out at -2.862 eV per atom. The magnetic moment is 0.00 μB/f.u. The energy above the most stable polymorph in this dataset comes out at 0 meV/atom.

---

Entry 8:
The following is a GGA-PBE calculation of a relaxed structure of Ba2Hg5Au12, from Alexandria.

Cell: 10.4562 10.4562 13.8416 Å, 90.00 90.00 120.00°
Closest atoms and distances in Å follow each position.
Space group R-3m (No. 166, hexagonal axes)
Inequivalent atoms, fractional coordinates:
Ba  0.0000  0.0000  0.1518 (multiplicity 6)  1 Hg 3.41, 12 Au 3.49-3.58
Hg  0.0000  0.0000  0.3980 (multiplicity 6)  4 Hg 2.82-3.15
Hg  0.0000  0.5000  0.0000 (multiplicity 9)  8 Au 2.89-3.08, 2 Hg 3.15
Au  0.0000  0.3333  0.1667 (multiplicity 18)  2 Hg 2.89, 4 Au 2.89
Au  0.0131  0.5065  0.6667 (multiplicity 18)  6 Au 2.89-2.90, 2 Hg 3.08

## Properties
For the density of states at the Fermi level, the calculation gives 22.83 states/eV per cell. As for the density: 13.84 g/cm3. The formation energy is -0.225 eV/atom. The total energy comes out at -2.577 eV per atom. The magnetic moment is 0.00 μB/f.u.

---

Entry 9:
The following is a GGA-PBE calculation of a relaxed structure of BaHg2AuI, from Alexandria.

Cell: 5.4072 5.4072 6.4059 Å, 90.00 90.00 90.00°
Closest atoms and distances in Å follow each position.
Space group P4/mmm (No. 123)
Inequivalent atoms, fractional coordinates:
Ba  0.0000  0.0000  0.0000 (multiplicity 1)  2 Au 3.20
Hg  0.0000  0.5000  0.5000 (multiplicity 2)  2 Au 2.70
Au  0.0000  0.0000  0.5000 (multiplicity 1)  4 Hg 2.70
I  0.5000  0.5000  0.0000 (multiplicity 1)  4 Ba 3.82, 8 Hg 4.19

## Properties
For the density of states at the Fermi level, the calculation gives 1.42 states/eV per cell. As for the density: 7.65 g/cm3. The total energy comes out at -2.106 eV per atom. The magnetic moment is 0.00 μB/f.u. The calculation puts the uncorrected formation energy at -0.64 eV per atom.

---

Entry 10:
The following is a GGA-PBE calculation of a relaxed structure of Ba4HgAuI2, from Alexandria.

Cell: 8.3520 4.8027 9.3385 Å, 90.00 107.18 90.00°
Closest atoms and distances in Å follow each position.
Space group P2/m (No. 10)
Inequivalent atoms, fractional coordinates:
Ba  0.2320  0.0000  0.2110 (multiplicity 2)  2 Au 3.34, 1 Hg 3.39
Ba  0.2531  0.5000  0.7830 (multiplicity 2)  1 Au 3.33, 2 Hg 3.41, 2 I 3.73
Hg  0.5000  0.0000  0.0000 (multiplicity 1)  6 Ba 3.39-3.41
Au  0.0000  0.5000  0.0000 (multiplicity 1)  6 Ba 3.33-3.34
I  0.0000  0.0000  0.5000 (multiplicity 1)  6 Ba 3.73-3.76
I  0.5000  0.5000  0.5000 (multiplicity 1)  6 Ba 3.80-3.81

## Properties
For the density of states at the Fermi level, the calculation gives 5.50 states/eV per cell. As for the density: 5.57 g/cm3. The total energy comes out at -2.779 eV per atom. The magnetic moment is 0.01 μB/f.u. The calculation puts the uncorrected formation energy at -0.98 eV per atom.